(1)
The following is a PBE calculation of a geometry-optimized BeCdSi4 structure, from Alexandria via LeMat-Bulk.

The uncorrected formation energy comes out at 0.680 eV per atom. Its volume is 16.1 Å³ per atom. The crystal system is cubic. The magnetic moment comes out at 0.00 μB per formula unit. The total energy comes out at -89.007 eV/cell.

It has space group F-43m (No. 216), with a = 7.279 Å, b = 7.279 Å, c = 7.279 Å, α = 90.00°, β = 90.00° and γ = 90.00°. The inequivalent atoms are Be at (0.000, 0.000, 0.000), Cd at (0.250, 0.250, 0.750) and Si at (0.126, 0.126, 0.374).



(2)
The following is a PBE calculation of a geometry-optimized NaSr2Gd structure, from Alexandria via LeMat-Bulk.

As for the polymorph energy (0 for the lowest one): 69 meV per atom. Its volume is 43.6 Å³ per atom. The calculation puts the formation energy at 0.18 eV/atom. The crystal system is tetragonal. The magnetic moment comes out at 7.54 μB per formula unit. The total energy comes out at -18.037 eV/cell.

It has space group P4/mmm (No. 123), with a = 6.457 Å, b = 6.457 Å, c = 4.181 Å, α = 90.00°, β = 90.00° and γ = 90.00°. The inequivalent atoms are Na at (0.000, 0.000, 0.000), Sr at (0.000, 0.500, 0.500) and Gd at (0.500, 0.500, 0.000).



- The highest total energy belongs to which entry?
  NaSr2Gd